(1)
ZrSnGe: relaxed, PBE.

Calculated values
Energy above the most stable polymorph in this dataset ... 31.7 meV/atom

The structure in CIF format:
```
data_ZrSnGe
_chemical_formula_sum 'Zr4 Sn4 Ge4'
_cell_length_a 6.654
_cell_length_b 6.654
_cell_length_c 6.654
_cell_angle_alpha 90.00
_cell_angle_beta 90.00
_cell_angle_gamma 90.00
_symmetry_space_group_name_H-M 'F -4 3 m'
_symmetry_Int_Tables_number 216
_symmetry_space_group_name_Hall 'F -4 2 3'
loop_
_atom_site_label
_atom_site_type_symbol
_atom_site_fract_x
_atom_site_fract_y
_atom_site_fract_z
Zr1 Zr 0.000 0.000 0.000
Sn1 Sn 0.000 0.000 0.500
Ge1 Ge 0.250 0.250 0.750
```

=====

(2)
SmBr3: relaxed, PBE.

Calculated values
Final energy ... -4.2707 eV per atom

The structure in CIF format:
```
data_SmBr3
_chemical_formula_sum 'Sm4 Br12'
_cell_length_a 6.794
_cell_length_b 6.794
_cell_length_c 12.421
_cell_angle_alpha 90.00
_cell_angle_beta 90.00
_cell_angle_gamma 90.00
_symmetry_space_group_name_H-M 'P 42/m n m'
_symmetry_Int_Tables_number 136
_symmetry_space_group_name_Hall '-P 4n 2n'
loop_
_atom_site_label
_atom_site_type_symbol
_atom_site_fract_x
_atom_site_fract_y
_atom_site_fract_z
Sm1 Sm 0.000 0.000 0.171
Br1 Br 0.200 0.200 0.000
Br2 Br 0.202 0.202 0.339
```